No. 1
La6Sm5Y: relaxed, PBE.

a b c (Å): 6.3356 7.4162 9.7456
angles (deg): 67.63 88.96 89.92
Last column: nearest neighbours and their distance in Å.
Fractional coordinates of all 12 atoms:
Y1 0.0000 0.0000 0.0000  8 La 3.67, 4 Sm 3.70-3.71
Sm1 0.6660 0.1666 0.6670  8 La 3.67, 3 Sm 3.70-3.71, 1 Y 3.70
Sm2 0.3341 0.3333 0.3333  8 La 3.66-3.67, 4 Sm 3.70-3.71
Sm3 0.0000 0.5000 0.0000  8 La 3.66-3.67, 2 Sm 3.71, 2 Y 3.71
Sm4 0.6659 0.6667 0.6667  8 La 3.66-3.67, 4 Sm 3.70-3.71
Sm5 0.3340 0.8334 0.3330  8 La 3.67, 3 Sm 3.70-3.71, 1 Y 3.70
La1 0.8341 0.5832 0.3332  7 Sm 3.66-3.67, 1 Y 3.67, 4 La 3.70-3.71
La2 0.8341 0.0837 0.3332  7 Sm 3.67, 1 Y 3.67, 4 La 3.70-3.71
La3 0.5001 0.7497 0.9999  6 Sm 3.66-3.67, 2 Y 3.67, 4 La 3.70-3.71
La4 0.4999 0.2503 0.0001  6 Sm 3.66-3.67, 2 Y 3.67, 4 La 3.70-3.71
La5 0.1659 0.9163 0.6668  7 Sm 3.67, 1 Y 3.67, 4 La 3.70-3.71
La6 0.1659 0.4168 0.6668  7 Sm 3.66-3.67, 1 Y 3.67, 4 La 3.70-3.71

Output
- excess energy over the best structure of this formula in the dataset (meV per atom) = 2
- total magnetization (μB/f.u.) = 0.00
- crystal system = triclinic
- energy of formation from the pure elements (eV per formula unit) = 0.22
- volume (Å³ per cell) = 423.4

***

No. 2
Ce3Si6Pt2Rh: relaxed, PBE.

a b c (Å): 5.8283 5.8283 7.7434
angles (deg): 90.00 90.00 120.00
Last column: nearest neighbours and their distance in Å.
Fractional coordinates of all 12 atoms:
Ce1 0.3333 0.6667 0.6582  9 Si 2.94-3.07, 1 Pt 2.98
Ce2 0.6667 0.3333 0.3418  9 Si 2.94-3.07, 1 Pt 2.98
Ce3 0.0000 0.0000 0.0000  6 Si 3.07, 6 Pt 3.38
Si1 0.6144 0.8072 0.3068  1 Rh 2.45, 2 Si 2.46, 1 Pt 2.49
Si2 0.1928 0.3856 0.3068  1 Rh 2.45, 2 Si 2.46, 1 Pt 2.49
Si3 0.1928 0.8072 0.3068  1 Rh 2.45, 2 Si 2.46, 1 Pt 2.49
Si4 0.8072 0.6144 0.6932  1 Rh 2.45, 2 Si 2.46, 1 Pt 2.49
Si5 0.3856 0.1928 0.6932  1 Rh 2.45, 2 Si 2.46, 1 Pt 2.49
Si6 0.8072 0.1928 0.6932  1 Rh 2.45, 2 Si 2.46, 1 Pt 2.49
Pt1 0.6667 0.3333 0.9576  3 Si 2.49
Pt2 0.3333 0.6667 0.0424  3 Si 2.49
Rh1 0.0000 0.0000 0.5000  6 Si 2.45

Output
- total magnetization (μB/f.u.) = 1.16
- crystal system = trigonal
- energy (eV per atom) = -6.40
- volume (Å³ per cell) = 227.8

***

No. 3
CaTl2In: relaxed, PBE.

a b c (Å): 4.0942 4.1520 6.8709
angles (deg): 90.00 90.00 90.00
Last column: nearest neighbours and their distance in Å.
Fractional coordinates of all 4 atoms:
Tl1 0.0000 0.0000 0.9940  4 In 3.33, 4 Tl 3.39, 2 Ca 3.39-3.48
Tl2 0.5000 0.5000 0.2451  2 In 3.33-3.54, 4 Tl 3.39, 4 Ca 3.40
Ca1 0.0000 0.0000 0.5008  6 Tl 3.39-3.48, 4 In 3.42
In1 0.5000 0.5000 0.7602  6 Tl 3.33-3.54, 4 Ca 3.42

Output
- total magnetization (μB/f.u.) = 0.00
- crystal system = orthorhombic
- energy of formation from the pure elements (eV per formula unit) = -0.77
- volume (Å³ per cell) = 116.8

***

No. 4
CsVBi: relaxed, PBE.

a b c (Å): 4.7172 4.7172 12.5194
angles (deg): 90.00 90.00 90.00
Last column: nearest neighbours and their distance in Å.
Fractional coordinates of all 6 atoms:
Cs1 0.0000 0.5000 0.7827  4 Bi 3.85, 4 V 4.25
Cs2 0.5000 0.0000 0.2173  4 Bi 3.85, 4 V 4.25
Bi1 0.0000 0.5000 0.3712  4 V 2.86
Bi2 0.5000 0.0000 0.6288  4 V 2.86
V1 0.0000 0.0000 0.5000  4 Bi 2.86
V2 0.5000 0.5000 0.5000  4 Bi 2.86

Output
- total magnetization (μB/f.u.) = 2.95
- crystal system = tetragonal
- energy of formation from the pure elements (eV per formula unit) = 0.30
- volume (Å³ per cell) = 278.6

***

No. 5
Ho5In4Ru: relaxed, PBE.

a b c (Å): 3.4334 3.4334 21.1401
angles (deg): 90.00 90.00 90.00
Last column: nearest neighbours and their distance in Å.
Fractional coordinates of all 10 atoms:
Ho1 0.5000 0.5000 0.0775  4 Ru 2.93, 1 Ho 3.28
Ho2 0.5000 0.5000 0.2926  8 In 3.27-3.28, 4 Ho 3.43
Ho3 0.5000 0.5000 0.5000  8 In 3.27, 4 Ho 3.43
Ho4 0.5000 0.5000 0.7074  8 In 3.27-3.28, 4 Ho 3.43
Ho5 0.5000 0.5000 0.9225  4 Ru 2.93, 1 Ho 3.28
In1 0.0000 0.0000 0.1884  8 Ho 3.28-3.37, 4 In 3.43
In2 0.0000 0.0000 0.3964  8 Ho 3.27, 4 In 3.43
In3 0.0000 0.0000 0.6036  8 Ho 3.27, 4 In 3.43
In4 0.0000 0.0000 0.8116  8 Ho 3.28-3.37, 4 In 3.43
Ru1 0.0000 0.0000 0.0000  8 Ho 2.93

Output
- total magnetization (μB/f.u.) = 0.20
- crystal system = tetragonal
- energy of formation from the pure elements (eV per formula unit) = -4.76
- volume (Å³ per cell) = 249.2

***

No. 6
ZrGaPt: relaxed, PBE.

a b c (Å): 5.5197 5.5031 7.5940
angles (deg): 90.00 107.74 90.00
Last column: nearest neighbours and their distance in Å.
Fractional coordinates of all 12 atoms:
Zr1 0.3005 0.8568 0.1196  4 Pt 2.83-2.93, 5 Ga 2.95-3.13
Zr2 0.8005 0.6432 0.6196  4 Pt 2.83-2.93, 5 Ga 2.95-3.13
Zr3 0.6995 0.1432 0.8804  4 Pt 2.83-2.93, 5 Ga 2.95-3.13
Zr4 0.1995 0.3568 0.3804  4 Pt 2.83-2.93, 5 Ga 2.95-3.13
Ga1 0.6424 0.4101 0.2256  3 Pt 2.51-2.58
Ga2 0.3576 0.5899 0.7744  3 Pt 2.51-2.58
Ga3 0.1424 0.0899 0.7256  3 Pt 2.51-2.58
Ga4 0.8576 0.9101 0.2744  3 Pt 2.51-2.58
Pt1 0.1992 0.3471 0.0078  3 Ga 2.51-2.58, 1 Pt 2.74
Pt2 0.8008 0.6529 0.9922  3 Ga 2.51-2.58, 1 Pt 2.74
Pt3 0.3008 0.8471 0.4922  3 Ga 2.51-2.58, 1 Pt 2.74
Pt4 0.6992 0.1529 0.5078  3 Ga 2.51-2.58, 1 Pt 2.74

Output
- total magnetization (μB/f.u.) = 0.00
- crystal system = monoclinic
- energy of formation from the pure elements (eV per formula unit) = -2.54
- volume (Å³ per cell) = 219.7

***

Ρ for the records above, in order: 6.57 7.89 8.01 4.68 9.23 10.76 g/cm3